{"formula": "LaTeRu2", "functional": "GGA-PBEsol", "state": "relaxed", "raw_formation_energy_ev_per_atom": -0.095, "final_energy_ev_per_cell": -29.60, "space_group": "No. 6", "lattice": [[-3.3038, 0.5699, 2.4536], [-3.0242, -0.8499, -3.8746], [1.1915, -3.7609, 2.4779]], "species": ["La", "Ru", "Ru", "Te"], "frac_coords": [[0.5000, 0.1858, 0.7750], [0.0000, 0.9765, 0.1002], [0.5000, 0.7638, 0.1848], [0.0000, 0.5739, 0.4400]]}


{"formula": "KPaO3", "functional": "GGA-PBEsol", "state": "relaxed", "raw_formation_energy_ev_per_atom": -3.142, "final_energy_ev_per_cell": -42.82, "space_group": "No. 221", "lattice": [[4.3414, 0.0000, 0.0000], [0.0000, 4.3414, 0.0000], [0.0000, 0.0000, 4.3414]], "species": ["K", "Pa", "O", "O", "O"], "frac_coords": [[0.5000, 0.5000, 0.5000], [0.0000, 0.0000, 0.0000], [0.5000, 0.0000, 0.0000], [0.0000, 0.5000, 0.0000], [0.0000, 0.0000, 0.5000]]}


{"formula": "GaNiIN2", "functional": "GGA-PBEsol", "state": "relaxed", "e_above_lowest_polymorph_mev_per_atom": 817, "raw_formation_energy_ev_per_atom": 2.055, "final_energy_ev_per_cell": -18.04, "space_group": "No. 123", "lattice": [[-3.7485, 0.4472, -0.9692], [-0.4898, -3.8651, 0.1110], [-1.3946, 0.3361, 5.5490]], "species": ["I", "Ni", "Ga", "N", "N"], "frac_coords": [[0.0000, 0.0000, 0.0000], [0.5000, 0.5000, 0.5000], [0.0000, 0.0000, 0.5000], [0.0000, 0.5000, 0.0000], [0.5000, 0.0000, 0.0000]]}


{"formula": "CaZnAu", "functional": "GGA-PBEsol", "state": "relaxed", "formation_energy_ev_per_atom": -0.5638, "final_energy_ev_per_cell": -9.33, "space_group": "No. 187", "lattice": [[3.7049, 0.0000, 0.0000], [0.0000, 4.4604, 0.0000], [0.0000, -2.2302, 3.8628]], "species": ["Zn", "Au", "Ca"], "frac_coords": [[0.5000, 0.6667, 0.3333], [0.5000, 0.0000, 0.0000], [0.0000, 0.3333, 0.6667]]}


{"formula": "KOsPt2", "functional": "GGA-PBEsol", "state": "relaxed", "e_above_lowest_polymorph_mev_per_atom": 722, "formation_energy_ev_per_atom": 1.2422, "final_energy_ev_per_cell": -22.31, "space_group": "No. 216", "lattice": [[4.5582, 0.0000, 0.0000], [2.2791, 3.9475, 0.0000], [2.2791, 1.3158, 3.7217]], "species": ["K", "Os", "Pt", "Pt"], "frac_coords": [[0.5000, 0.5000, 0.5000], [0.2500, 0.2500, 0.2500], [0.0000, 0.0000, 0.0000], [0.7500, 0.7500, 0.7500]]}


{"formula": "NbPNCl2", "functional": "GGA-PBEsol", "state": "relaxed", "raw_formation_energy_ev_per_atom": 0.946, "final_energy_ev_per_cell": -24.43, "space_group": "No. 123", "lattice": [[4.1556, 0.0000, 0.0000], [0.0000, 4.1556, 0.0000], [0.0000, 0.0000, 4.2128]], "species": ["P", "Nb", "N", "Cl", "Cl"], "frac_coords": [[0.0000, 0.0000, 0.5000], [0.5000, 0.5000, 0.5000], [0.0000, 0.0000, 0.0000], [0.0000, 0.5000, 0.0000], [0.5000, 0.0000, 0.0000]]}


The M_tot results, record by record, are as follows: 0.001, 0.000, 0.823, 0.000, 1.518, 1.650 μB/f.u..